NaAcPu: optimized geometry, PBE-GGA. Values from VASP.

The structure in Quantum ESPRESSO input format:
```
&SYSTEM
  ibrav = 0, nat = 6, ntyp = 3
/
ATOMIC_SPECIES
Na 22.99 Na.upf
Ac 227.00 Ac.upf
Pu 244.00 Pu.upf
ATOMIC_POSITIONS crystal
Na 0.841 0.749 0.210
Na 0.159 0.251 0.790
Ac 0.572 0.214 0.375
Ac 0.428 0.786 0.625
Pu 0.885 0.791 0.992
Pu 0.115 0.209 0.008
CELL_PARAMETERS angstrom
-6.670 -1.565 -1.566
0.127 -1.473 -3.351
11.578 -2.951 9.743
```

## Properties
Crystal system: monoclinic
Formation energy from the elements: 0.471 eV/atom
Total magnetization: 0.32 μB per atom
Total DFT energy (no corrections): -6.1154 eV per atom